DFT (PBE) results for a relaxed structure of InSnRh3.

Unit cell a=4.825 b=4.825 c=4.825 alpha=90.00 beta=90.00 gamma=90.00
Atoms (fractional coordinates):
Rh (0.000, 0.500, 0.000)
Rh (0.000, 0.000, 0.500)
Sn (0.000, 0.000, 0.000)
Rh (0.500, 0.000, 0.000)
In (0.500, 0.500, 0.500)

Output
- Calculated density: 8.0 g cm⁻³
- Crystal system: cubic
- Distance to the lowest polymorph of the same formula: 962 meV per atom

DFT (PBE) results for a relaxed structure of MnAl5.

Unit cell a=7.414 b=7.414 c=4.425 alpha=90.00 beta=90.00 gamma=158.12
Each line ends with the local moment (μB).
Atoms (fractional coordinates):
Mn (0.109, 0.891, 0.500)  2.04
Al (0.767, 0.233, 0.500)  -0.01
Al (0.454, 0.546, 0.500)  -0.01
Al (0.004, 0.996, 0.000)  -0.01
Al (0.661, 0.339, 0.000)  -0.03
Al (0.338, 0.662, 0.000)  -0.01

Output
- Calculated density: 3.5 g cm⁻³
- Crystal system: orthorhombic

| no. | DFT formation energy (eV per atom) |
| --- | --- |
| 1 | 0.725 |
| 2 | -0.056 |